[1]
This record from the Alexandria database describes a relaxed structure of K2MgAl. The functional is GGA-PBE.

Cell: 6.724 6.724 3.318 Å, 90.00 90.00 90.00°
Positions (direct):
Al 0.000 0.500 0.500
K 0.000 0.000 0.000
K 0.500 0.500 0.000
Mg 0.500 0.000 0.500

## Properties
magnetization = 0.000 μB per atom

[2]
This record from the Alexandria database describes a relaxed structure of K2MgAl. The functional is GGA-PBE.

Cell: 4.994 5.129 7.112 Å, 68.91 90.00 90.00°
Positions (direct):
Al 0.500 0.575 0.725
K 0.000 0.975 0.927
K 0.500 0.281 0.313
Mg 0.000 0.669 0.535

## Properties
magnetization = 0.000 μB per atom

[3]
This record from the Alexandria database describes a relaxed structure of KMgAl2. The functional is GGA-PBE.

Cell: 6.178 6.178 2.885 Å, 90.00 90.00 115.91°
Positions (direct):
Al 0.000 0.000 0.000
Al 0.500 0.500 0.000
K 0.500 0.000 0.500
Mg 0.000 0.500 0.500

## Properties
magnetization = 0.000 μB per atom

[4]
This record from the Alexandria database describes a relaxed structure of K2MgAl. The functional is GGA-PBE.

Cell: 9.954 9.954 7.725 Å, 49.89 49.89 90.00°
Positions (direct):
Mg 0.500 0.500 0.000
Mg 0.250 0.750 0.500
K 0.651 0.125 0.250
K 0.099 0.625 0.250
K 0.375 0.349 0.750
K 0.875 0.901 0.750
Al 0.000 0.000 0.000
Al 0.750 0.250 0.500

## Properties
magnetization = 0.000 μB per atom

[5]
This record from the Alexandria database describes a relaxed structure of K2MgAl. The functional is GGA-PBE.

Cell: 4.900 4.925 5.873 Å, 90.00 90.00 90.00°
Positions (direct):
Al 0.000 0.500 0.500
K 0.000 0.000 0.000
K 0.500 0.500 0.000
Mg 0.500 0.000 0.500

## Properties
magnetization = 0.002 μB per atom

[6]
This record from the Alexandria database describes a relaxed structure of KMg4Al. The functional is GGA-PBE.

Cell: 6.129 6.129 6.129 Å, 60.00 60.00 60.00°
Positions (direct):
K 0.000 0.000 0.000
Mg 0.871 0.376 0.376
Mg 0.376 0.376 0.871
Mg 0.376 0.871 0.376
Mg 0.376 0.376 0.376
Al 0.750 0.750 0.750

## Properties
magnetization = 0.000 μB per atom

[7]
This record from the Alexandria database describes a relaxed structure of KMg9Al3. The functional is GGA-PBE.

Cell: 5.816 7.724 7.828 Å, 82.22 68.19 68.62°
Positions (direct):
K 0.000 0.000 0.000
Mg 0.714 0.781 0.777
Mg 0.286 0.219 0.223
Mg 0.509 0.219 0.777
Mg 0.491 0.781 0.223
Mg 0.649 0.350 0.356
Mg 0.351 0.650 0.644
Mg 0.995 0.650 0.356
Mg 0.005 0.350 0.644
Mg 0.000 0.500 0.000
Al 0.500 0.500 0.000
Al 0.000 0.000 0.500
Al 0.500 0.000 0.500

## Properties
magnetization = 0.000 μB per atom

[8]
This record from the Alexandria database describes a relaxed structure of KMgAl3. The functional is GGA-PBE.

Cell: 5.682 5.682 5.682 Å, 90.00 90.00 90.00°
Positions (direct):
Mg 0.500 0.500 0.500
K 0.000 0.000 0.000
Al 0.000 0.500 0.000
Al 0.000 0.000 0.500
Al 0.500 0.000 0.000

## Properties
magnetization = 0.000 μB per atom

[9]
This record from the Alexandria database describes a relaxed structure of KMgAl2. The functional is GGA-PBE.

Cell: 6.773 6.773 6.773 Å, 154.72 126.59 59.98°
Positions (direct):
Al 0.988 0.988 0.000
Al 0.793 0.293 0.500
K 0.513 0.513 0.000
Mg 0.207 0.707 0.500

## Properties
magnetization = 0.000 μB per atom

[10]
This record from the Alexandria database describes a relaxed structure of KMgAl2. The functional is GGA-PBE.

Cell: 3.368 3.368 9.157 Å, 90.00 90.00 90.00°
Positions (direct):
Al 0.000 0.000 0.019
Al 0.500 0.500 0.183
K 0.000 0.000 0.477
Mg 0.500 0.500 0.821

## Properties
magnetization = 0.000 μB per atom

[11]
This record from the Alexandria database describes a relaxed structure of K2MgAl. The functional is GGA-PBE.

Cell: 6.769 6.769 6.769 Å, 140.69 125.41 69.33°
Positions (direct):
Al 0.298 0.798 0.500
K 0.030 0.030 0.000
K 0.730 0.230 0.500
Mg 0.441 0.441 0.000

## Properties
magnetization = 0.001 μB per atom

[12]
This record from the Alexandria database describes a relaxed structure of K3MgAl. The functional is GGA-PBE.

Cell: 6.692 6.692 6.692 Å, 90.00 90.00 90.00°
Positions (direct):
Mg 0.500 0.500 0.500
K 0.000 0.500 0.000
K 0.000 0.000 0.500
K 0.500 0.000 0.000
Al 0.000 0.000 0.000

## Properties
magnetization = 0.000 μB per atom

The calculation returns the following DFT total energy values, one per record and in order: -5.894 -6.480 -8.655 -11.326 -5.972 -9.771 -26.323 -6.567 -9.015 -9.430 -6.526 -6.099 eV per cell.